1.
K2HgGeSb | GGA-PBE | relaxed

Structure (extended XYZ):
```
5
Lattice="6.502 0.000 0.000 0.000 5.069 0.000 0.000 0.000 6.502" Properties=species:S:1:pos:R:3 pbc="T T T"
Sb 3.251 2.534 3.251
K 3.251 0.000 0.000
K 0.000 0.000 3.251
Ge 0.000 0.000 0.000
Hg 0.000 2.534 0.000
```

* space-group type: P4/mmm, No. 123
* total moment: 0.4387 μB per atom
* uncorrected formation energy: 256 meV/atom

2.
Pr4Sb2AsSe | GGA-PBE | relaxed

Structure (extended XYZ):
```
8
Lattice="-0.250 4.201 -1.370 -3.165 1.996 6.698 5.520 1.940 4.940" Properties=species:S:1:pos:R:3 pbc="T T T"
Pr -1.031 4.072 5.524
Pr 3.136 4.066 4.744
Pr 0.308 5.208 1.616
Pr 1.796 2.929 8.652
Se 3.812 5.039 7.604
As 1.177 1.968 5.819
Sb 2.635 3.070 1.785
Sb 5.520 1.940 4.940
```

* space-group type: P2/m, No. 10
* total moment: 0.0000 μB per atom
* uncorrected formation energy: -1451 meV/atom

3.
NaMgGe2 | GGA-PBE | relaxed

Structure (extended XYZ):
```
4
Lattice="-0.120 -3.318 -1.135 3.363 0.212 -0.976 1.970 -2.229 6.306" Properties=species:S:1:pos:R:3 pbc="T T T"
Na 2.607 -2.667 2.097
Ge 1.566 -1.772 5.012
Ge 0.404 -0.457 1.293
Mg 1.622 -1.553 -1.056
```

* space-group type: P4/mmm, No. 123
* total moment: 0.0000 μB per atom
* ΔE_f: -0.069 eV per atom

4.
RbTe3Se3 | GGA-PBE | relaxed

Structure (extended XYZ):
```
14
Lattice="8.299 0.000 0.000 0.000 8.299 0.000 0.000 0.000 8.299" Properties=species:S:1:pos:R:3 pbc="T T T"
Te 0.000 4.150 6.224
Te 4.150 6.224 0.000
Te 0.000 4.150 2.075
Te 4.150 2.075 0.000
Te 6.224 0.000 4.150
Te 2.075 0.000 4.150
Se 0.000 2.075 4.150
Se 4.150 0.000 2.075
Se 0.000 6.224 4.150
Se 2.075 4.150 0.000
Se 6.224 4.150 0.000
Se 4.150 0.000 6.224
Rb 4.150 4.150 4.150
Rb 0.000 0.000 0.000
```

* space-group type: Pm-3n, No. 223
* energy above the lowest structure with this stoichiometry: 2.24 eV per formula unit
* total moment: 0.0000 μB per atom
* uncorrected formation energy: 99 meV/atom

5.
Nd4Sm2Sc | GGA-PBE | relaxed

Structure (extended XYZ):
```
7
Lattice="5.972 0.000 0.000 0.000 6.158 0.000 0.000 -3.079 6.499" Properties=species:S:1:pos:R:3 pbc="T T T"
Nd 0.000 3.079 4.049
Nd 2.986 0.000 4.740
Nd 0.000 0.000 2.450
Nd 2.986 3.079 1.759
Sm 2.986 3.079 5.072
Sm 2.986 0.000 1.427
Sc 0.000 3.079 0.000
```

* space-group type: Cmmm, No. 65
* energy above the lowest structure with this stoichiometry: 3.16 eV per formula unit
* total moment: 0.0000 μB per atom
* ΔE_f: 0.486 eV per atom

6.
Hf5Co2Rh | GGA-PBE | relaxed

Structure (extended XYZ):
```
16
Lattice="-2.872 5.885 0.371 -4.689 -2.023 -4.104 0.119 -4.048 7.091" Properties=species:S:1:pos:R:3 pbc="T T T"
Hf -2.756 0.790 4.518
Hf -3.781 1.931 -1.866
Hf -4.686 -0.976 -1.160
Hf -4.634 -1.177 2.406
Hf -0.557 -1.824 5.000
Hf -5.007 3.605 0.470
Hf -6.885 1.638 -1.642
Hf -2.435 -3.791 2.888
Hf 0.000 0.000 0.000
Hf -2.808 0.992 0.952
Co -2.322 -0.591 6.780
Co -5.339 -0.227 4.815
Co -5.121 0.405 -3.422
Co -2.104 0.041 -1.457
Rh -1.831 -1.058 2.612
Rh -5.612 0.873 0.746
```

* space-group type: Fmmm, No. 69
* total moment: 0.0000 μB per atom
* ΔE_f: -0.425 eV per atom